(1)
Here is an optimized crystal structure of NpInGaAg from Alexandria via LeMat-Bulk. Energies are from PBE.

The calculation puts the formation enthalpy at 0 K at 0.061 eV/atom. The density of states at the Fermi level comes out at 1.887 states/eV per atom.

It has space group F-43m (No. 216), with a = 7.033 Å, b = 7.033 Å, c = 7.033 Å, α = 90.00°, β = 90.00° and γ = 90.00°. The distinct sites, in fractional coordinates, are Np at (0.000, 0.000, 0.000), In at (0.000, 0.000, 0.500), Ga at (0.250, 0.250, 0.750) and Ag at (0.250, 0.250, 0.250).

(2)
Here is an optimized crystal structure of In3GaAg3O8 from Alexandria via LeMat-Bulk. Energies are from PBE.

The uncorrected formation energy is -101 kJ/mol of atoms. The density of states at the Fermi level comes out at 0.638 states/eV per atom.

It has space group C2/m (No. 12), with a = 11.225 Å, b = 6.520 Å, c = 7.798 Å, α = 90.00°, β = 126.03° and γ = 90.00°. The distinct sites, in fractional coordinates, are In at (0.000, 0.000, 0.000), In at (0.250, 0.250, 0.000), Ga at (0.000, 0.500, 0.000), Ag at (0.000, 0.000, 0.500), Ag at (0.250, 0.250, 0.500), O at (0.091, 0.500, 0.848), O at (0.093, 0.000, 0.822) and O at (0.149, 0.258, 0.176).

(3)
Here is an optimized crystal structure of InGaAg2Os from Alexandria via LeMat-Bulk. Energies are from PBE.

The calculation puts the formation enthalpy at 0 K at 1.046 eV/atom. The density of states at the Fermi level comes out at 0.754 states/eV per atom.

It has space group P4/mmm (No. 123), with a = 5.149 Å, b = 5.149 Å, c = 5.095 Å, α = 90.00°, β = 90.00° and γ = 90.00°. The distinct sites, in fractional coordinates, are In at (0.000, 0.000, 0.000), Ga at (0.500, 0.500, 0.000), Ag at (0.000, 0.500, 0.500) and Os at (0.000, 0.000, 0.500).

(4)
Here is an optimized crystal structure of PaInGaAg from Alexandria via LeMat-Bulk. Energies are from PBE.

The calculation puts the formation enthalpy at 0 K at -0.029 eV/atom. The density of states at the Fermi level comes out at 0.623 states/eV per atom.

It has space group F-43m (No. 216), with a = 7.021 Å, b = 7.021 Å, c = 7.021 Å, α = 90.00°, β = 90.00° and γ = 90.00°. The distinct sites, in fractional coordinates, are Pa at (0.000, 0.000, 0.000), In at (0.000, 0.000, 0.500), Ga at (0.250, 0.250, 0.250) and Ag at (0.250, 0.250, 0.750).

(5)
Here is an optimized crystal structure of InGaAgPb from Alexandria via LeMat-Bulk. Energies are from PBE.

The calculation puts the formation enthalpy at 0 K at 0.123 eV/atom. The density of states at the Fermi level comes out at 0.758 states/eV per atom.

It has space group F-43m (No. 216), with a = 7.268 Å, b = 7.268 Å, c = 7.268 Å, α = 90.00°, β = 90.00° and γ = 90.00°. The distinct sites, in fractional coordinates, are In at (0.000, 0.000, 0.000), Ga at (0.250, 0.250, 0.250), Ag at (0.250, 0.250, 0.750) and Pb at (0.000, 0.000, 0.500).

(6)
Here is an optimized crystal structure of In2Ga2AgPd5 from Alexandria via LeMat-Bulk. Energies are from PBE.

The calculation puts the formation enthalpy at 0 K at -0.338 eV/atom. The density of states at the Fermi level comes out at 0.518 states/eV per atom.

It has space group P4/mbm (No. 127), with a = 9.663 Å, b = 9.663 Å, c = 3.709 Å, α = 90.00°, β = 90.00° and γ = 90.00°. The distinct sites, in fractional coordinates, are In at (0.171, 0.329, 0.000), Ga at (0.127, 0.627, 0.000), Ag at (0.000, 0.000, 0.000), Pd at (0.000, 0.500, 0.500) and Pd at (0.089, 0.802, 0.500).

(7)
Here is an optimized crystal structure of InGaAgPd from Alexandria via LeMat-Bulk. Energies are from PBE.

The calculation puts the formation enthalpy at 0 K at -0.189 eV/atom. The density of states at the Fermi level comes out at 0.629 states/eV per atom.

It has space group F-43m (No. 216), with a = 6.580 Å, b = 6.580 Å, c = 6.580 Å, α = 90.00°, β = 90.00° and γ = 90.00°. The distinct sites, in fractional coordinates, are In at (0.000, 0.000, 0.000), Ga at (0.000, 0.000, 0.500), Ag at (0.250, 0.250, 0.250) and Pd at (0.250, 0.250, 0.750).

(8)
Here is an optimized crystal structure of PmInGaAg from Alexandria via LeMat-Bulk. Energies are from PBE.

The calculation puts the formation enthalpy at 0 K at -0.362 eV/atom. The density of states at the Fermi level comes out at 0.369 states/eV per atom.

It has space group F-43m (No. 216), with a = 7.122 Å, b = 7.122 Å, c = 7.122 Å, α = 90.00°, β = 90.00° and γ = 90.00°. The distinct sites, in fractional coordinates, are Pm at (0.000, 0.000, 0.000), In at (0.000, 0.000, 0.500), Ga at (0.250, 0.250, 0.250) and Ag at (0.250, 0.250, 0.750).

(9)
Here is an optimized crystal structure of Pm4InGaAg2 from Alexandria via LeMat-Bulk. Energies are from PBE.

The calculation puts the formation enthalpy at 0 K at -0.399 eV/atom. The density of states at the Fermi level comes out at 1.014 states/eV per atom.

It has space group R-3m (No. 166, hexagonal axes), with a = 5.3132 Å, b = 5.3132 Å, c = 26.0203 Å, α = 90.00°, β = 90.00° and γ = 120.00°. The distinct sites, in fractional coordinates, are Pm at (0.0000, 0.0000, 0.1203), Pm at (0.0000, 0.0000, 0.3706), In at (0.0000, 0.0000, 0.5000), Ga at (0.0000, 0.0000, 0.0000) and Ag at (0.0000, 0.0000, 0.2444).

(10)
Here is an optimized crystal structure of PrInGaAg from Alexandria via LeMat-Bulk. Energies are from PBE.

The calculation puts the formation enthalpy at 0 K at -0.360 eV/atom. The density of states at the Fermi level comes out at 0.402 states/eV per atom.

It has space group F-43m (No. 216), with a = 7.185 Å, b = 7.185 Å, c = 7.185 Å, α = 90.00°, β = 90.00° and γ = 90.00°. The distinct sites, in fractional coordinates, are Pr at (0.000, 0.000, 0.000), In at (0.000, 0.000, 0.500), Ga at (0.250, 0.250, 0.750) and Ag at (0.250, 0.250, 0.250).

(11)
Here is an optimized crystal structure of Pr4InGaAg2 from Alexandria via LeMat-Bulk. Energies are from PBE.

The calculation puts the formation enthalpy at 0 K at -0.381 eV/atom. The density of states at the Fermi level comes out at 1.068 states/eV per atom.

It has space group R-3m (No. 166, hexagonal axes), with a = 5.3848 Å, b = 5.3848 Å, c = 26.3956 Å, α = 90.00°, β = 90.00° and γ = 120.00°. The distinct sites, in fractional coordinates, are Pr at (0.0000, 0.0000, 0.1201), Pr at (0.0000, 0.0000, 0.3705), In at (0.0000, 0.0000, 0.5000), Ga at (0.0000, 0.0000, 0.0000) and Ag at (0.0000, 0.0000, 0.2436).

(12)
Here is an optimized crystal structure of InGaAgPt from Alexandria via LeMat-Bulk. Energies are from PBE.

The calculation puts the formation enthalpy at 0 K at -0.188 eV/atom. The density of states at the Fermi level comes out at 0.403 states/eV per atom.

It has space group F-43m (No. 216), with a = 6.576 Å, b = 6.576 Å, c = 6.576 Å, α = 90.00°, β = 90.00° and γ = 90.00°. The distinct sites, in fractional coordinates, are In at (0.000, 0.000, 0.000), Ga at (0.000, 0.000, 0.500), Ag at (0.250, 0.250, 0.250) and Pt at (0.250, 0.250, 0.750).

- Which formula does entry 6 have?
  In2Ga2AgPd5